{"formula": "Mg3Sc3HgAu2", "functional": "PBE", "state": "relaxed", "lattice": [[7.559, 0.000, 0.000], [-3.780, 6.547, 0.000], [0.000, 0.000, 3.733]], "species": ["Mg", "Mg", "Mg", "Sc", "Sc", "Sc", "Hg", "Au", "Au"], "fractional_positions": [[0.268, 0.268, 0.500], [0.732, 0.000, 0.500], [0.000, 0.732, 0.500], [0.590, 0.590, 0.000], [0.000, 0.410, 0.000], [0.410, 0.000, 0.000], [0.000, 0.000, 0.000], [0.333, 0.667, 0.500], [0.667, 0.333, 0.500]], "total_energy_ev_per_cell": -34.963, "mass_density_g_cm3": 7.212}

{"formula": "Pm5Pa2Al", "functional": "PBE", "state": "relaxed", "lattice": [[-2.753, 3.524, -5.601], [-5.756, 1.717, 3.909], [2.424, 4.455, 1.612]], "species": ["Pm", "Pm", "Pm", "Pm", "Pm", "Pa", "Pa", "Al"], "fractional_positions": [[0.278, 0.722, 0.000], [0.722, 0.278, 0.000], [0.000, 0.000, 0.500], [0.278, 0.278, 0.000], [0.722, 0.722, 0.000], [0.000, 0.500, 0.500], [0.500, 0.000, 0.500], [0.000, 0.000, 0.000]], "total_energy_ev_per_cell": -39.842, "mass_density_g_cm3": 7.376}

{"formula": "TaZnPO", "functional": "PBE", "state": "relaxed", "lattice": [[-1.481, -3.372, -0.978], [1.976, -2.501, 5.629], [-4.370, 1.306, 2.115]], "species": ["Ta", "Ta", "O", "O", "Zn", "Zn", "P", "P"], "fractional_positions": [[0.500, 0.360, 0.589], [0.500, 0.640, 0.089], [0.000, 0.253, 0.585], [0.000, 0.747, 0.085], [0.000, 0.074, 0.975], [0.000, 0.926, 0.475], [0.500, 0.738, 0.597], [0.500, 0.262, 0.097]], "total_energy_ev_per_cell": -53.418, "mass_density_g_cm3": 7.861}

{"formula": "HoHfPt", "functional": "PBE", "state": "relaxed", "lattice": [[0.000, 3.312, 3.312], [3.312, 0.000, 3.312], [3.312, 3.312, 0.000]], "species": ["Hf", "Pt", "Ho"], "fractional_positions": [[0.250, 0.250, 0.250], [0.000, 0.000, 0.000], [0.750, 0.750, 0.750]], "formation_enthalpy_0k_ev_per_atom": -0.618, "mass_density_g_cm3": 12.307}

{"formula": "HfMgTc2", "functional": "PBE", "state": "relaxed", "lattice": [[-4.220, -1.687, 0.084], [-1.927, -1.107, 3.965], [-3.417, 2.506, 1.645]], "species": ["Tc", "Tc", "Hf", "Mg"], "fractional_positions": [[0.000, 0.000, 0.000], [0.750, 0.750, 0.750], [0.250, 0.250, 0.250], [0.500, 0.500, 0.500]], "total_energy_ev_per_cell": -31.831, "mass_density_g_cm3": 9.972}

{"formula": "Nd3Ho3CoTe2", "functional": "PBE", "state": "relaxed", "lattice": [[8.478, 0.000, 0.000], [-4.239, 7.342, 0.000], [0.000, 0.000, 3.997]], "species": ["Nd", "Nd", "Nd", "Te", "Te", "Ho", "Ho", "Ho", "Co"], "fractional_positions": [[0.404, 0.404, 0.000], [0.000, 0.596, 0.000], [0.596, 0.000, 0.000], [0.333, 0.667, 0.500], [0.667, 0.333, 0.500], [0.770, 0.770, 0.500], [0.000, 0.230, 0.500], [0.230, 0.000, 0.500], [0.000, 0.000, 0.000]], "total_energy_ev_per_cell": -47.805, "mass_density_g_cm3": 8.288}

{"formula": "Tb2Si2O7", "functional": "PBE", "state": "relaxed", "lattice": [[-6.465, 1.390, 0.116], [-0.630, -4.246, 5.081], [2.320, 9.488, 7.043]], "species": ["O", "O", "O", "O", "O", "O", "O", "O", "O", "O", "O", "O", "O", "O", "O", "O", "O", "O", "O", "O", "O", "O", "O", "O", "O", "O", "O", "O", "Tb", "Tb", "Tb", "Tb", "Tb", "Tb", "Tb", "Tb", "Si", "Si", "Si", "Si", "Si", "Si", "Si", "Si"], "fractional_positions": [[0.760, 0.910, 0.996], [0.291, 0.573, 0.490], [0.286, 0.779, 0.313], [0.382, 0.138, 0.212], [0.298, 0.709, 0.908], [0.000, 0.335, 0.918], [0.714, 0.221, 0.687], [0.585, 0.831, 0.555], [0.618, 0.862, 0.788], [0.073, 0.417, 0.313], [0.037, 0.229, 0.571], [0.774, 0.091, 0.376], [0.415, 0.169, 0.445], [0.348, 0.213, 0.812], [0.000, 0.987, 0.816], [0.652, 0.787, 0.188], [0.000, 0.665, 0.082], [0.226, 0.909, 0.624], [0.702, 0.291, 0.092], [0.240, 0.090, 0.004], [0.397, 0.570, 0.697], [0.642, 0.510, 0.876], [0.927, 0.583, 0.687], [0.709, 0.427, 0.510], [0.603, 0.430, 0.303], [0.358, 0.490, 0.124], [0.963, 0.771, 0.429], [0.000, 0.013, 0.184], [0.053, 0.328, 0.116], [0.371, 0.224, 0.631], [0.329, 0.827, 0.108], [0.629, 0.776, 0.369], [0.947, 0.672, 0.884], [0.117, 0.089, 0.359], [0.671, 0.173, 0.892], [0.883, 0.911, 0.641], [0.856, 0.375, 0.618], [0.623, 0.272, 0.403], [0.514, 0.333, 0.173], [0.377, 0.728, 0.597], [0.844, 0.850, 0.116], [0.486, 0.667, 0.827], [0.144, 0.625, 0.382], [0.156, 0.150, 0.884]], "total_energy_ev_per_cell": -360.432, "mass_density_g_cm3": 6.114}

{"formula": "LiGdGe", "functional": "PBE", "state": "relaxed", "lattice": [[7.094, 0.000, 0.000], [-3.547, 6.144, 0.000], [0.000, 0.000, 4.309]], "species": ["Li", "Li", "Li", "Ge", "Ge", "Ge", "Gd", "Gd", "Gd"], "fractional_positions": [[0.231, 0.000, 0.500], [0.000, 0.231, 0.500], [0.769, 0.769, 0.500], [0.667, 0.333, 0.500], [0.000, 0.000, 0.000], [0.333, 0.667, 0.500], [0.000, 0.574, 0.000], [0.426, 0.426, 0.000], [0.574, 0.000, 0.000]], "total_energy_ev_per_cell": -39.996, "mass_density_g_cm3": 6.282}

{"formula": "TbInPO", "functional": "PBE", "state": "relaxed", "lattice": [[4.058, 0.000, 0.000], [0.000, 7.619, 0.000], [0.000, 0.000, 5.747]], "species": ["P", "P", "In", "In", "Tb", "Tb", "O", "O"], "fractional_positions": [[0.000, 0.325, 0.428], [0.000, 0.675, 0.928], [0.500, 0.120, 0.491], [0.500, 0.880, 0.991], [0.000, 0.689, 0.432], [0.000, 0.311, 0.932], [0.500, 0.808, 0.403], [0.500, 0.192, 0.903]], "total_energy_ev_per_cell": -46.123, "mass_density_g_cm3": 5.995}

{"formula": "Na3NiH5", "functional": "PBE", "state": "relaxed", "lattice": [[2.031, 3.909, 2.402], [-4.279, 1.370, 2.234], [1.585, -4.314, 5.682]], "species": ["Na", "Na", "Na", "Na", "Na", "Na", "H", "H", "H", "H", "H", "H", "H", "H", "H", "H", "Ni", "Ni"], "fractional_positions": [[0.211, 0.211, 0.000], [0.211, 0.211, 0.500], [0.673, 0.327, 0.250], [0.327, 0.673, 0.750], [0.789, 0.789, 0.500], [0.789, 0.789, 0.000], [0.928, 0.483, 0.750], [0.994, 0.006, 0.750], [0.698, 0.302, 0.546], [0.302, 0.698, 0.046], [0.483, 0.928, 0.250], [0.072, 0.517, 0.250], [0.302, 0.698, 0.454], [0.698, 0.302, 0.954], [0.006, 0.994, 0.250], [0.517, 0.072, 0.750], [0.750, 0.250, 0.750], [0.250, 0.750, 0.250]], "total_energy_ev_per_cell": -55.697, "mass_density_g_cm3": 2.403}

{"formula": "GdDyP2Ir2O2", "functional": "PBE", "state": "relaxed", "lattice": [[-2.960, 0.187, -2.623], [1.536, -3.082, -1.953], [-4.323, -5.018, 4.521]], "species": ["P", "P", "O", "O", "Ir", "Ir", "Gd", "Dy"], "fractional_positions": [[0.500, 0.500, 0.337], [0.000, 0.000, 0.664], [0.000, 0.500, 0.998], [0.500, 0.000, 0.998], [0.000, 0.500, 0.500], [0.500, 0.000, 0.500], [0.000, 0.000, 0.138], [0.500, 0.500, 0.864]], "total_energy_ev_per_cell": -63.491, "mass_density_g_cm3": 10.544}

{"formula": "MgSiNiIr", "functional": "PBE", "state": "relaxed", "lattice": [[3.621, -1.248, -1.876], [1.012, -4.140, -0.138], [-0.135, -2.105, -3.706]], "species": ["Ni", "Si", "Ir", "Mg"], "fractional_positions": [[0.750, 0.750, 0.750], [0.000, 0.000, 0.000], [0.500, 0.500, 0.500], [0.250, 0.250, 0.250]], "total_energy_ev_per_cell": -21.350, "mass_density_g_cm3": 9.183}

{"formula": "SmGaW", "functional": "PBE", "state": "relaxed", "lattice": [[0.000, 3.242, 3.242], [3.242, 0.000, 3.242], [3.242, 3.242, 0.000]], "species": ["W", "Ga", "Sm"], "fractional_positions": [[0.750, 0.750, 0.750], [0.000, 0.000, 0.000], [0.250, 0.250, 0.250]], "total_energy_ev_per_cell": -18.883, "mass_density_g_cm3": 9.839}

{"formula": "Sc4CdPN2", "functional": "PBE", "state": "relaxed", "lattice": [[-3.256, 0.002, -0.445], [1.859, -2.274, -1.475], [-1.473, -8.169, 10.742]], "species": ["Sc", "Sc", "Sc", "Sc", "Cd", "P", "N", "N"], "fractional_positions": [[0.667, 0.333, 0.815], [0.000, 0.000, 0.634], [0.667, 0.333, 0.185], [0.000, 0.000, 0.366], [0.000, 0.000, 0.000], [0.667, 0.333, 0.500], [0.333, 0.667, 0.273], [0.333, 0.667, 0.727]], "total_energy_ev_per_cell": -58.415, "mass_density_g_cm3": 4.593}

{"formula": "YHoAl2Pd4", "functional": "PBE", "state": "relaxed", "lattice": [[4.359, 0.000, 0.000], [-2.180, 3.775, 0.000], [0.000, 0.000, 9.121]], "species": ["Al", "Al", "Pd", "Pd", "Pd", "Pd", "Ho", "Y"], "fractional_positions": [[0.667, 0.333, 0.750], [0.667, 0.333, 0.250], [0.333, 0.667, 0.832], [0.333, 0.667, 0.168], [0.000, 0.000, 0.672], [0.000, 0.000, 0.328], [0.000, 0.000, 0.000], [0.333, 0.667, 0.500]], "total_energy_ev_per_cell": -46.821, "mass_density_g_cm3": 8.114}

{"formula": "Th2AlZn7", "functional": "PBE", "state": "relaxed", "lattice": [[-0.690, 0.054, 4.185], [4.183, -0.142, 0.692], [0.369, 10.488, -0.076]], "species": ["Zn", "Zn", "Zn", "Zn", "Zn", "Zn", "Zn", "Al", "Th", "Th"], "fractional_positions": [[0.000, 0.500, 0.369], [0.500, 0.500, 0.500], [0.500, 0.000, 0.631], [0.000, 0.500, 0.137], [0.000, 0.000, 0.500], [0.500, 0.500, 0.000], [0.500, 0.000, 0.863], [0.000, 0.000, 0.000], [0.500, 0.000, 0.254], [0.000, 0.500, 0.746]], "total_energy_ev_per_cell": -30.628, "mass_density_g_cm3": 8.343}

{"formula": "Li6AgHg", "functional": "PBE", "state": "relaxed", "lattice": [[4.478, 0.000, 0.000], [0.000, 4.478, 0.000], [0.000, 0.000, 6.322]], "species": ["Ag", "Li", "Li", "Li", "Li", "Li", "Li", "Hg"], "fractional_positions": [[0.500, 0.500, 0.500], [0.500, 0.000, 0.252], [0.500, 0.500, 0.000], [0.500, 0.000, 0.748], [0.000, 0.500, 0.252], [0.000, 0.000, 0.500], [0.000, 0.500, 0.748], [0.000, 0.000, 0.000]], "total_energy_ev_per_cell": -16.253, "mass_density_g_cm3": 4.585}

{"formula": "BaPrSc", "functional": "PBE", "state": "relaxed", "lattice": [[0.000, 4.006, 4.006], [4.006, 0.000, 4.006], [4.006, 4.006, 0.000]], "species": ["Ba", "Sc", "Pr"], "fractional_positions": [[0.250, 0.250, 0.250], [0.000, 0.000, 0.000], [0.750, 0.750, 0.750]], "total_energy_ev_per_cell": -10.693, "mass_density_g_cm3": 4.173}

{"formula": "AlCdPO", "functional": "PBE", "state": "relaxed", "lattice": [[3.905, 0.000, 0.000], [0.000, 6.649, 0.000], [0.000, 0.000, 5.497]], "species": ["P", "P", "Cd", "Cd", "Al", "Al", "O", "O"], "fractional_positions": [[0.500, 0.798, 0.419], [0.500, 0.202, 0.919], [0.500, 0.185, 0.451], [0.500, 0.815, 0.951], [0.000, 0.624, 0.528], [0.000, 0.376, 0.028], [0.000, 0.394, 0.356], [0.000, 0.606, 0.856]], "total_energy_ev_per_cell": -39.349, "mass_density_g_cm3": 4.336}

{"formula": "Zr2Sb", "functional": "PBE", "state": "relaxed", "lattice": [[-6.470, -2.718, 5.787], [-4.700, -7.605, -1.677], [1.311, -7.385, 5.146]], "species": ["Sb", "Sb", "Zr", "Zr", "Zr", "Zr"], "fractional_positions": [[0.250, 0.250, 0.250], [0.500, 0.500, 0.500], [0.875, 0.375, 0.375], [0.375, 0.375, 0.875], [0.375, 0.375, 0.375], [0.375, 0.875, 0.375]], "total_energy_ev_per_cell": -29.906, "mass_density_g_cm3": 1.899}

{"formula": "HfGe2F2", "functional": "PBE", "state": "relaxed", "lattice": [[-2.000, 2.286, 8.576], [2.000, -2.286, 8.576], [2.000, 2.286, -8.576]], "species": ["F", "F", "F", "F", "Ge", "Ge", "Ge", "Ge", "Hf", "Hf"], "fractional_positions": [[0.214, 0.964, 0.250], [0.368, 0.118, 0.250], [0.786, 0.036, 0.750], [0.632, 0.882, 0.750], [0.045, 0.795, 0.250], [0.955, 0.205, 0.750], [0.421, 0.671, 0.750], [0.579, 0.329, 0.250], [0.183, 0.433, 0.750], [0.817, 0.567, 0.250]], "total_energy_ev_per_cell": -56.204, "mass_density_g_cm3": 7.661}

{"formula": "RbNiMo", "functional": "PBE", "state": "relaxed", "lattice": [[0.000, 3.176, 3.176], [3.176, 0.000, 3.176], [3.176, 3.176, 0.000]], "species": ["Mo", "Ni", "Rb"], "fractional_positions": [[0.000, 0.000, 0.000], [0.250, 0.250, 0.250], [0.750, 0.750, 0.750]], "total_energy_ev_per_cell": -11.058, "mass_density_g_cm3": 6.223}

{"formula": "LiFeAgGe", "functional": "PBE", "state": "relaxed", "lattice": [[3.291, -2.819, -0.042], [2.289, -0.711, 3.610], [-0.360, -3.783, 2.084]], "species": ["Fe", "Li", "Ag", "Ge"], "fractional_positions": [[0.750, 0.750, 0.750], [0.500, 0.500, 0.500], [0.250, 0.250, 0.250], [0.000, 0.000, 0.000]], "total_energy_ev_per_cell": -17.436, "mass_density_g_cm3": 7.020}